[1]
Compound: KAgSnS3
Source: OQMD via LeMat-Bulk
Functional: GGA-PBE
Structure: optimized geometry

a = 15.9650 Å, b = 6.6515 Å, c = 16.1577 Å
α = 76.43°, β = 23.89°, γ = 79.68°
With the nearest neighbours (Å) after each atom.
Fractional positions:
K 0.2949 0.7051 0.3440  6 S 3.22-3.47
K 0.5940 0.9060 0.5449  6 S 3.22-3.47
K 0.7051 0.2949 0.6560  6 S 3.22-3.47
K 0.9060 0.5940 0.9551  6 S 3.22-3.47
Ag 0.0922 0.0922 0.9078  2 S 2.40
Ag 0.3422 0.3422 0.1578  2 S 2.40
Ag 0.4468 0.4468 0.5532  2 S 2.42
Ag 0.6968 0.6968 0.8032  2 S 2.42
Sn 0.1465 0.3740 0.0264  4 S 2.39-2.49
Sn 0.2236 0.7968 0.1035  4 S 2.39-2.49
Sn 0.3740 0.1465 0.4532  4 S 2.39-2.49
Sn 0.7968 0.2236 0.8760  4 S 2.39-2.49
S 0.0557 0.7165 0.1278  2 Sn 2.47-2.49
S 0.0875 0.5912 0.3611  1 Sn 2.40, 1 Ag 2.40
S 0.1222 0.1500 0.1943  2 Sn 2.47-2.49
S 0.1500 0.1222 0.5335  2 Sn 2.47-2.49
S 0.2899 0.8889 0.6588  1 Sn 2.40, 1 Ag 2.40
S 0.3911 0.4960 0.4525  1 Sn 2.39, 1 Ag 2.42
S 0.4960 0.3911 0.6604  1 Sn 2.39, 1 Ag 2.42
S 0.5896 0.7975 0.7540  1 Sn 2.39, 1 Ag 2.42
S 0.5912 0.0875 0.9601  1 Sn 2.40, 1 Ag 2.40
S 0.7165 0.0557 0.1000  2 Sn 2.47-2.49
S 0.7975 0.5896 0.8589  1 Sn 2.39, 1 Ag 2.42
S 0.8889 0.2899 0.1625  1 Sn 2.40, 1 Ag 2.40

- total DFT energy (no corrections) (eV/atom) = -3.998



[2]
Compound: KAgSnS3
Source: OQMD via LeMat-Bulk
Functional: GGA-PBE
Structure: optimized geometry

a = 13.9776 Å, b = 3.9552 Å, c = 10.5613 Å
α = 90.00°, β = 90.00°, γ = 90.00°
With the nearest neighbours (Å) after each atom.
Fractional positions:
K 0.1419 0.2500 0.0067  5 S 3.17-3.37, 3 Ag 3.39-3.42
K 0.3581 0.7500 0.5067  5 S 3.17-3.37, 3 Ag 3.39-3.42
K 0.6419 0.2500 0.4933  5 S 3.17-3.37, 3 Ag 3.39-3.42
K 0.8581 0.7500 0.9933  5 S 3.17-3.37, 3 Ag 3.39-3.42
Ag 0.2050 0.7500 0.2574  3 S 2.44-2.49
Ag 0.2950 0.2500 0.7574  3 S 2.44-2.49
Ag 0.7050 0.7500 0.2426  3 S 2.44-2.49
Ag 0.7950 0.2500 0.7426  3 S 2.44-2.49
Sn 0.0393 0.7500 0.6490  6 S 2.49-2.69
Sn 0.4607 0.2500 0.1490  6 S 2.49-2.69
Sn 0.5393 0.7500 0.8510  6 S 2.49-2.69
Sn 0.9607 0.2500 0.3510  6 S 2.49-2.69
S 0.0337 0.7500 0.2120  1 Ag 2.44, 2 Sn 2.67
S 0.1065 0.2500 0.5010  3 Sn 2.58-2.69
S 0.1877 0.7500 0.7799  1 Sn 2.49, 2 Ag 2.49
S 0.3123 0.2500 0.2799  1 Sn 2.49, 2 Ag 2.49
S 0.3935 0.7500 0.0010  3 Sn 2.58-2.69
S 0.4663 0.2500 0.7120  1 Ag 2.44, 2 Sn 2.67
S 0.5337 0.7500 0.2880  1 Ag 2.44, 2 Sn 2.67
S 0.6065 0.2500 0.9990  3 Sn 2.58-2.69
S 0.6877 0.7500 0.7201  1 Sn 2.49, 2 Ag 2.49
S 0.8123 0.2500 0.2201  1 Sn 2.49, 2 Ag 2.49
S 0.8935 0.7500 0.4990  3 Sn 2.58-2.69
S 0.9663 0.2500 0.7880  1 Ag 2.44, 2 Sn 2.67

- total DFT energy (no corrections) (eV/atom) = -3.939



[3]
Compound: KAgSnS3
Source: OQMD via LeMat-Bulk
Functional: GGA-PBE
Structure: optimized geometry

a = 7.4731 Å, b = 7.4731 Å, c = 10.5764 Å
α = 90.00°, β = 90.00°, γ = 150.00°
With the nearest neighbours (Å) after each atom.
Fractional positions:
K 0.2237 0.7763 0.7500  4 S 3.18-3.26, 2 Ag 3.46
K 0.7763 0.2237 0.2500  4 S 3.18-3.26, 2 Ag 3.46
Ag 0.0773 0.9227 0.2500  4 S 2.46-2.66
Ag 0.9227 0.0773 0.7500  4 S 2.46-2.66
Sn 0.5000 0.5000 0.0000  6 S 2.64-2.74
Sn 0.5000 0.5000 0.5000  6 S 2.64-2.74
S 0.1227 0.8773 0.0258  1 Ag 2.46, 2 Sn 2.64
S 0.1227 0.8773 0.4742  1 Ag 2.46, 2 Sn 2.64
S 0.4509 0.5491 0.2500  2 Ag 2.66, 2 Sn 2.74
S 0.5491 0.4509 0.7500  2 Ag 2.66, 2 Sn 2.74
S 0.8773 0.1227 0.5258  1 Ag 2.46, 2 Sn 2.64
S 0.8773 0.1227 0.9742  1 Ag 2.46, 2 Sn 2.64

- total DFT energy (no corrections) (eV/atom) = -3.865



[4]
Compound: KAgSnS3
Source: OQMD via LeMat-Bulk
Functional: GGA-PBE
Structure: optimized geometry

a = 8.6521 Å, b = 3.9635 Å, c = 9.1558 Å
α = 90.00°, β = 106.65°, γ = 90.00°
With the nearest neighbours (Å) after each atom.
Fractional positions:
K 0.2327 0.2500 0.2777  5 S 3.25-3.41, 2 Ag 3.54
K 0.7673 0.7500 0.7223  5 S 3.25-3.41, 2 Ag 3.54
Ag 0.0494 0.2500 0.6048  4 S 2.50-2.71, 2 Ag 2.72
Ag 0.9506 0.7500 0.3952  4 S 2.50-2.71, 2 Ag 2.72
Sn 0.3268 0.7500 0.8589  6 S 2.54-2.72
Sn 0.6732 0.2500 0.1411  6 S 2.54-2.72
S 0.1367 0.2500 0.8901  1 Ag 2.50, 2 Sn 2.64
S 0.2493 0.7500 0.5698  1 Sn 2.54, 3 Ag 2.62-2.71
S 0.4603 0.7500 0.1468  3 Sn 2.56-2.72
S 0.5397 0.2500 0.8532  3 Sn 2.56-2.72
S 0.7507 0.2500 0.4302  1 Sn 2.54, 3 Ag 2.62-2.71
S 0.8633 0.7500 0.1099  1 Ag 2.50, 2 Sn 2.64

- total DFT energy (no corrections) (eV/atom) = -3.924



[5]
Compound: KAgSnTeS2
Source: OQMD via LeMat-Bulk
Functional: GGA-PBE
Structure: optimized geometry

a = 8.1572 Å, b = 8.1572 Å, c = 11.4256 Å
α = 90.00°, β = 90.00°, γ = 152.81°
With the nearest neighbours (Å) after each atom.
Fractional positions:
K 0.2369 0.7631 0.7500  2 Ag 3.38, 2 Te 3.55, 4 S 3.60
K 0.7631 0.2369 0.2500  2 Ag 3.38, 2 Te 3.55, 4 S 3.60
Ag 0.4387 0.5613 0.2500  2 S 2.46
Ag 0.5613 0.4387 0.7500  2 S 2.46
Sn 0.0000 0.0000 0.0000  4 S 2.68
Sn 0.0000 0.0000 0.5000  4 S 2.68
Te 0.0745 0.9255 0.2500  2 Ag 2.88, 2 Sn 3.09
Te 0.9255 0.0745 0.7500  2 Ag 2.88, 2 Sn 3.09
S 0.3872 0.6128 0.0465  1 Ag 2.46, 2 Sn 2.68
S 0.3872 0.6128 0.4535  1 Ag 2.46, 2 Sn 2.68
S 0.6128 0.3872 0.5465  1 Ag 2.46, 2 Sn 2.68
S 0.6128 0.3872 0.9535  1 Ag 2.46, 2 Sn 2.68

- total DFT energy (no corrections) (eV/atom) = -3.632



[6]
Compound: KTaAgTeS2
Source: OQMD via LeMat-Bulk
Functional: GGA-PBE
Structure: optimized geometry

a = 8.1793 Å, b = 8.1793 Å, c = 10.4790 Å
α = 90.00°, β = 90.00°, γ = 154.07°
With the nearest neighbours (Å) after each atom.
Fractional positions:
K 0.2195 0.7805 0.7500  4 S 3.38, 2 Ag 3.43, 2 Te 3.52, 2 K 3.67
K 0.7805 0.2195 0.2500  4 S 3.38, 2 Ag 3.43, 2 Te 3.52, 2 K 3.67
Ta 0.0000 0.0000 0.0000  4 S 2.53
Ta 0.0000 0.0000 0.5000  4 S 2.53
Ag 0.4621 0.5379 0.2500  2 S 2.44
Ag 0.5379 0.4621 0.7500  2 S 2.44
Te 0.0920 0.9080 0.2500  2 Ag 2.77, 2 Ta 3.00
Te 0.9080 0.0920 0.7500  2 Ag 2.77, 2 Ta 3.00
S 0.3941 0.6059 0.0417  1 Ag 2.44, 2 Ta 2.53
S 0.3941 0.6059 0.4583  1 Ag 2.44, 2 Ta 2.53
S 0.6059 0.3941 0.5417  1 Ag 2.44, 2 Ta 2.53
S 0.6059 0.3941 0.9583  1 Ag 2.44, 2 Ta 2.53

- total DFT energy (no corrections) (eV/atom) = -5.112
- total magnetic moment (μB per cell) = 0.7



[7]
Compound: KTaAgTe2S
Source: OQMD via LeMat-Bulk
Functional: GGA-PBE
Structure: optimized geometry

a = 8.9387 Å, b = 8.9387 Å, c = 9.8027 Å
α = 90.00°, β = 90.00°, γ = 153.55°
With the nearest neighbours (Å) after each atom.
Fractional positions:
K 0.2273 0.7727 0.7500  2 Ag 3.45, 6 Te 3.55-3.75
K 0.7727 0.2273 0.2500  2 Ag 3.45, 6 Te 3.55-3.75
Ta 0.0000 0.0000 0.0000  2 S 2.47
Ta 0.0000 0.0000 0.5000  2 S 2.47
Ag 0.4321 0.5679 0.2500  2 S 2.54, 2 Te 2.70
Ag 0.5679 0.4321 0.7500  2 S 2.54, 2 Te 2.70
Te 0.3798 0.6202 0.5090  1 Ag 2.70, 2 Ta 2.93
Te 0.3798 0.6202 0.9910  1 Ag 2.70, 2 Ta 2.93
Te 0.6202 0.3798 0.0090  1 Ag 2.70, 2 Ta 2.93
Te 0.6202 0.3798 0.4910  1 Ag 2.70, 2 Ta 2.93
S 0.0188 0.9812 0.2500  2 Ta 2.47, 2 Ag 2.54
S 0.9812 0.0188 0.7500  2 Ta 2.47, 2 Ag 2.54

- total DFT energy (no corrections) (eV/atom) = -4.803
- total magnetic moment (μB per cell) = 0.1



[8]
Compound: KTbAg3S4
Source: OQMD via LeMat-Bulk
Functional: GGA-PBE
Structure: optimized geometry

a = 6.3920 Å, b = 6.3920 Å, c = 6.3920 Å
α = 90.00°, β = 90.00°, γ = 90.00°
With the nearest neighbours (Å) after each atom.
Fractional positions:
K 0.0000 0.0000 0.0000  4 S 2.98
Tb 0.5000 0.5000 0.5000  4 S 2.55
Ag 0.0000 0.5000 0.5000  4 S 2.70
Ag 0.5000 0.0000 0.5000  4 S 2.70
Ag 0.5000 0.5000 0.0000  4 S 2.70
S 0.2695 0.2695 0.2695  1 Tb 2.55, 3 Ag 2.70
S 0.2695 0.7305 0.7305  1 Tb 2.55, 3 Ag 2.70
S 0.7305 0.2695 0.7305  1 Tb 2.55, 3 Ag 2.70
S 0.7305 0.7305 0.2695  1 Tb 2.55, 3 Ag 2.70

- total DFT energy (no corrections) (eV/atom) = -4.083
- total magnetic moment (μB per cell) = 0.1